DFT (PBE with a Hubbard U) results for a geometry-optimized Mn2BeSO structure.

- Final energy: -28.69 eV per cell
- Calculated volume: 14.14 Å³/atom

Cell: 4.7322 4.7322 3.1568 Å, 90.00 90.00 90.00°
Space group P4/mmm (No. 123)
Symmetry-distinct sites (fractional):
Mn  0.0000  0.5000  0.0000 x2
Be  0.0000  0.0000  0.0000 x1
S  0.5000  0.5000  0.5000 x1
O  0.0000  0.0000  0.5000 x1